1.
Computed, not measured: crystalline ScPbS2 at its relaxed geometry at the GGA-PBE level of DFT.

Structure (CIF):
```
data_ScPbS2
_chemical_formula_sum 'Sc3 Pb3 S6'
_cell_length_a 4.2338
_cell_length_b 4.2338
_cell_length_c 23.9311
_cell_angle_alpha 90.00
_cell_angle_beta 90.00
_cell_angle_gamma 120.00
_space_group_name_H-M_alt 'R -3 m'
_space_group_IT_number 166
_space_group_name_Hall '-R 3 2"'
loop_
_atom_site_label
_atom_site_type_symbol
_atom_site_fract_x
_atom_site_fract_y
_atom_site_fract_z
_atom_site_occupancy
Sc1 Sc 0.0000 0.0000 0.0000 1
Pb1 Pb 0.0000 0.0000 0.5000 1
S1 S 0.0000 0.0000 0.0987 1
```

2.
# ScPbS3, optimized geometry, DFT GGA-PBE
# Excess energy over the best structure of this formula in the dataset (kcal/mol of atoms): 4.45
data_ScPbS3
_chemical_formula_sum 'Sc1 Pb1 S3'
_cell_length_a 4.943
_cell_length_b 4.943
_cell_length_c 4.943
_cell_angle_alpha 90.00
_cell_angle_beta 90.00
_cell_angle_gamma 90.00
_space_group_name_H-M_alt 'P m -3 m'
_space_group_IT_number 221
_space_group_name_Hall '-P 4 2 3'
loop_
_atom_site_label
_atom_site_type_symbol
_atom_site_fract_x
_atom_site_fract_y
_atom_site_fract_z
_atom_site_occupancy
Sc1 Sc 0.000 0.000 0.000 1
Pb1 Pb 0.500 0.500 0.500 1
S1 S 0.000 0.000 0.500 1

3.
# Sc3PbS, optimized geometry, DFT GGA-PBE
# Excess energy over the best structure of this formula in the dataset (kcal/mol of atoms): 0.00
data_Sc3PbS
_chemical_formula_sum 'Sc12 Pb4 S4'
_cell_length_a 3.782
_cell_length_b 11.947
_cell_length_c 9.674
_cell_angle_alpha 90.00
_cell_angle_beta 90.00
_cell_angle_gamma 90.00
_space_group_name_H-M_alt 'C m c m'
_space_group_IT_number 63
_space_group_name_Hall '-C 2c 2'
loop_
_atom_site_label
_atom_site_type_symbol
_atom_site_fract_x
_atom_site_fract_y
_atom_site_fract_z
_atom_site_occupancy
Sc1 Sc 0.000 0.049 0.250 1
Sc2 Sc 0.000 0.363 0.044 1
Pb1 Pb 0.000 0.249 0.750 1
S1 S 0.000 0.000 0.000 1

4.
# ScPbS3, optimized geometry, DFT GGA-PBE
# Excess energy over the best structure of this formula in the dataset (kcal/mol of atoms): 0.00
data_ScPbS3
_chemical_formula_sum 'Sc2 Pb2 S6'
_cell_length_a 6.761
_cell_length_b 6.762
_cell_length_c 7.306
_cell_angle_alpha 90.04
_cell_angle_beta 117.54
_cell_angle_gamma 119.95
_space_group_name_H-M_alt 'P -1'
_space_group_IT_number 2
loop_
_space_group_symop_operation_xyz
'x,y,z'
'-x,-y,-z'
loop_
_atom_site_label
_atom_site_type_symbol
_atom_site_fract_x
_atom_site_fract_y
_atom_site_fract_z
_atom_site_occupancy
Sc1 Sc 0.187 0.344 0.030 1
Pb1 Pb 0.221 0.861 0.582 1
S1 S 0.023 0.059 0.236 1
S2 S 0.273 0.713 0.237 1
S3 S 0.323 0.536 0.763 1

| no. | raw formation energy (eV/f.u.) |
| --- | --- |
| 1 | -2.2 |
| 2 | -4.0 |
| 3 | -5.0 |
| 4 | -5.0 |